TcPd3Se | PBE-GGA | relaxed

abc: 4.665 4.665 4.665
angles: 90.00 90.00 90.00
Space group Pm-3m (No. 221)
Asymmetric unit:
1 Tc 0.000 0.000 0.000 x1
2 Pd 0.000 0.500 0.500 x3
3 Se 0.500 0.500 0.500 x1

Calculated values
As for the density of states at the Fermi level: 2.7 states/eV/f.u. The size of the total moment is 4.5 μB per formula unit. Its excess energy over the best structure of this formula in the dataset is 0.000 eV per atom. The value obtained for the formation energy from raw total energies is 0.67 eV/atom. The calculated volume is 101.5 Å³ per cell.

SmDy6In3 | PBE-GGA | relaxed

abc: 10.131 5.165 11.220
angles: 90.00 98.95 90.00
Space group P2_1/m (No. 11)
Asymmetric unit:
1 Sm 0.047 0.250 0.405 x2
2 Dy 0.074 0.750 0.909 x2
3 Dy 0.142 0.750 0.220 x2
4 Dy 0.182 0.250 0.723 x2
5 Dy 0.276 0.750 0.517 x2
6 Dy 0.362 0.250 0.314 x2
7 Dy 0.449 0.750 0.095 x2
8 In 0.242 0.250 0.031 x2
9 In 0.363 0.750 0.807 x2
10 In 0.458 0.250 0.612 x2

Calculated values
The formation energy is -0.27 eV/atom. As for the density of states at the Fermi level: 11.2 states/eV/f.u. The size of the total moment is 0.0 μB per formula unit. Its excess energy over the best structure of this formula in the dataset is 0.000 eV per atom. The calculated volume is 580.0 Å³ per cell.

Tl2PRh | PBE-GGA | relaxed

abc: 6.351 7.992 3.168
angles: 90.00 90.00 90.00
Space group Cmmm (No. 65)
Asymmetric unit:
1 Tl 0.250 0.250 0.000 x4
2 P 0.000 0.000 0.500 x2
3 Rh 0.000 0.500 0.500 x2

Calculated values
The formation energy is 0.46 eV/atom. As for the density of states at the Fermi level: 2.6 states/eV/f.u. The size of the total moment is 0.0 μB per formula unit. Its excess energy over the best structure of this formula in the dataset is 0.613 eV per atom. The calculated volume is 160.8 Å³ per cell.

Ho3CrC3 | PBE-GGA | relaxed

abc: 8.529 10.329 5.075
angles: 90.00 90.00 90.00
Space group Cmcm (No. 63)
Asymmetric unit:
1 Ho 0.000 0.110 0.250 x4
2 Ho 0.212 0.382 0.250 x8
3 Cr 0.000 0.304 0.750 x4
4 C 0.000 0.125 0.750 x4
5 C 0.198 0.375 0.750 x8

Calculated values
The formation energy is -0.33 eV/atom. As for the density of states at the Fermi level: 3.1 states/eV/f.u. The size of the total moment is 0.0 μB per formula unit. The calculated volume is 447.1 Å³ per cell.

Li3Er3GeS8 | PBE-GGA | relaxed

abc: 7.6583 7.6583 18.4146
angles: 90.00 90.00 120.00
Space group R-3m (No. 166, hexagonal axes)
Asymmetric unit:
1 Li 0.0000 0.5000 0.0000 x9
2 Er 0.0000 0.5000 0.5000 x9
3 Ge 0.0000 0.0000 0.5000 x3
4 S 0.0000 0.0000 0.2492 x6
5 S 0.0300 0.5150 0.2451 x18

Calculated values
As for the density of states at the Fermi level: 1.2 states/eV/f.u. The size of the total moment is 0.0 μB per formula unit. The value obtained for the formation energy from raw total energies is -1.49 eV/atom. The calculated volume is 935.3 Å³ per cell.

PmThIn2 | PBE-GGA | relaxed

abc: 3.545 3.545 9.051
angles: 90.00 90.00 90.00
Space group P4/mmm (No. 123)
Asymmetric unit:
1 Pm 0.000 0.000 0.000 x1
2 Th 0.000 0.000 0.500 x1
3 In 0.500 0.500 0.246 x2

Calculated values
The formation energy is -0.38 eV/atom. As for the density of states at the Fermi level: 4.2 states/eV/f.u. The size of the total moment is 0.0 μB per formula unit. The calculated volume is 113.7 Å³ per cell.

Sm5HoIn8 | PBE-GGA | relaxed

abc: 9.337 9.337 9.242
angles: 90.00 90.00 90.00
Space group I-4 (No. 82)
Asymmetric unit:
1 Sm 0.000 0.000 0.000 x2
2 Sm 0.121 0.753 0.373 x8
3 Ho 0.000 0.500 0.750 x2
4 In 0.082 0.665 0.035 x8
5 In 0.086 0.828 0.712 x8

Calculated values
The formation energy is -0.36 eV/atom. As for the density of states at the Fermi level: 12.3 states/eV/f.u. The size of the total moment is 0.0 μB per formula unit. The calculated volume is 805.7 Å³ per cell.

Y2CuReMo | PBE-GGA | relaxed

abc: 5.298 5.298 4.716
angles: 90.00 90.00 90.00
Space group P4/mmm (No. 123)
Asymmetric unit:
1 Y 0.000 0.500 0.000 x2
2 Cu 0.000 0.000 0.500 x1
3 Re 0.000 0.000 0.000 x1
4 Mo 0.500 0.500 0.500 x1

Calculated values
The formation energy is 1.25 eV/atom. As for the density of states at the Fermi level: 5.1 states/eV/f.u. The size of the total moment is 4.2 μB per formula unit. Its excess energy over the best structure of this formula in the dataset is 0.171 eV per atom. The calculated volume is 132.4 Å³ per cell.

LiIn2O3 | PBE-GGA | relaxed

abc: 3.524 10.534 4.845
angles: 90.00 90.00 90.00
Space group Imm2 (No. 44)
Asymmetric unit:
1 Li 0.000 0.000 0.000 x2
2 In 0.000 0.338 0.983 x4
3 O 0.000 0.162 0.745 x4
4 O 0.000 0.500 0.728 x2

Calculated values
As for the density of states at the Fermi level: 0.8 states/eV/f.u. The size of the total moment is 0.0 μB per formula unit. The value obtained for the formation energy from raw total energies is -1.46 eV/atom. The calculated volume is 179.9 Å³ per cell.

Tb4Ru2Au | PBE-GGA | relaxed

abc: 8.770 13.126 6.773
angles: 90.00 122.77 90.00
Space group Cc (No. 9)
Asymmetric unit:
1 Tb 0.000 0.031 0.000 x4
2 Tb 0.094 0.417 0.452 x4
3 Tb 0.191 0.190 0.753 x4
4 Tb 0.352 0.192 0.376 x4
5 Ru 0.313 0.008 0.015 x4
6 Ru 0.472 0.321 0.776 x4
7 Au 0.251 0.375 0.023 x4

Calculated values
The formation energy is -0.44 eV/atom. As for the density of states at the Fermi level: 5.0 states/eV/f.u. The size of the total moment is 0.0 μB per formula unit. Its excess energy over the best structure of this formula in the dataset is 0.006 eV per atom. The calculated volume is 655.5 Å³ per cell.

ZrZnBr2 | PBE-GGA | relaxed

abc: 3.324 4.870 13.659
angles: 90.00 90.00 90.00
Space group Imm2 (No. 44)
Asymmetric unit:
1 Zr 0.000 0.000 0.000 x2
2 Zn 0.000 0.500 0.326 x2
3 Br 0.000 0.000 0.467 x2
4 Br 0.000 0.500 0.660 x2

Calculated values
As for the density of states at the Fermi level: 2.9 states/eV/f.u. The size of the total moment is 0.4 μB per formula unit. Its excess energy over the best structure of this formula in the dataset is 0.238 eV per atom. The value obtained for the formation energy from raw total energies is -0.43 eV/atom. The calculated volume is 221.1 Å³ per cell.

K2RhAu | PBE-GGA | relaxed

abc: 3.2066 3.2066 31.8943
angles: 90.00 90.00 120.00
Space group R-3m (No. 166, hexagonal axes)
Asymmetric unit:
1 K 0.0000 0.0000 0.2471 x6
2 Rh 0.0000 0.0000 0.5000 x3
3 Au 0.0000 0.0000 0.0000 x3

Calculated values
The formation energy is 0.52 eV/atom. As for the density of states at the Fermi level: 3.4 states/eV/f.u. The size of the total moment is 0.3 μB per formula unit. Its excess energy over the best structure of this formula in the dataset is 0.370 eV per atom. The calculated volume is 284.0 Å³ per cell.

Number 1: total DFT energy (no corrections) -5.217 eV per atom. Number 2: total DFT energy (no corrections) -4.322 eV per atom. Number 3: total DFT energy (no corrections) -3.918 eV per atom. Number 4: total DFT energy (no corrections) -7.623 eV per atom. Number 5: total DFT energy (no corrections) -5.293 eV per atom. Number 6: total DFT energy (no corrections) -4.795 eV per atom. Number 7: total DFT energy (no corrections) -3.941 eV per atom. Number 8: total DFT energy (no corrections) -6.812 eV per atom. Number 9: total DFT energy (no corrections) -5.175 eV per atom. Number 10: total DFT energy (no corrections) -6.208 eV per atom. Number 11: total DFT energy (no corrections) -3.720 eV per atom. Number 12: total DFT energy (no corrections) -2.687 eV per atom.